MnFeI6: relaxed, GGA-PBE.

Summary:
Symmetry: No. 12
Total energy (eV per atom): -3.553
Formation energy (no corrections) (meV/atom): -186
Energy above the most stable polymorph in this dataset (kJ/mol of formula units): 0.0

Cell: 7.6530 7.6530 6.6088 Å, 93.49 93.49 122.01°
Site moments in Bohr magnetons follow the coordinates.
Sites, in units of the cell vectors:
1 Mn 0.0000 0.0000 0.5000  3.43
2 I 0.9949 0.7106 0.7188  0.07
3 I 0.2894 0.0051 0.2812  0.07
4 I 0.6937 0.6937 0.2023  0.08
5 I 0.0051 0.2894 0.2812  0.07
6 I 0.3063 0.3063 0.7977  0.08
7 I 0.7106 0.9949 0.7188  0.07
8 Fe 0.0000 0.0000 0.0000  3.50

=====

MnFeI4: relaxed, GGA-PBE.

Summary:
Symmetry: No. 112
Total energy (eV per atom): -4.240
Formation energy (no corrections) (meV/atom): -268

Cell: 6.3844 6.3844 11.7974 Å, 90.00 90.00 90.00°
Site moments in Bohr magnetons follow the coordinates.
Sites, in units of the cell vectors:
1 I 0.2389 0.7516 0.1211  -0.03
2 I 0.7611 0.7516 0.3789  -0.03
3 I 0.2484 0.2389 0.8789  -0.03
4 I 0.7516 0.7611 0.8789  -0.03
5 I 0.2389 0.2484 0.3789  -0.03
6 I 0.2484 0.7611 0.6211  -0.03
7 I 0.7611 0.2484 0.1211  -0.03
8 I 0.7516 0.2389 0.6211  -0.03
9 Fe 0.0000 0.0000 0.0000  -3.20
10 Fe 0.0000 0.0000 0.5000  -3.20
11 Mn 0.0000 0.5000 0.2500  4.18
12 Mn 0.5000 0.0000 0.7500  4.18

=====

MnFeI3: relaxed, GGA-PBE.

Summary:
Symmetry: No. 221
Total energy (eV per atom): -3.875
Formation energy (no corrections) (meV/atom): 581
Energy above the most stable polymorph in this dataset (kJ/mol of formula units): 0.0

Cell: 5.5992 5.5992 5.5992 Å, 90.00 90.00 90.00°
Site moments in Bohr magnetons follow the coordinates.
Sites, in units of the cell vectors:
1 I 0.0000 0.0000 0.5000  0.07
2 I 0.0000 0.5000 0.0000  0.11
3 I 0.5000 0.0000 0.0000  0.09
4 Fe 0.5000 0.5000 0.5000  3.59
5 Mn 0.0000 0.0000 0.0000  4.25

=====

Mn2FeI: relaxed, GGA-PBE.

Summary:
Symmetry: No. 122
Total energy (eV per atom): -6.072
Formation energy (no corrections) (meV/atom): 1016
Energy above the most stable polymorph in this dataset (kJ/mol of formula units): 0.0

Cell: 6.5176 6.5176 6.0745 Å, 57.56 57.56 90.00°
Site moments in Bohr magnetons follow the coordinates.
Sites, in units of the cell vectors:
1 I 0.7500 0.2500 0.5000  0.03
2 I 0.0000 0.0000 0.0000  0.03
3 Mn 0.8750 0.8181 0.7500  3.39
4 Mn 0.5681 0.1250 0.2500  3.32
5 Mn 0.1819 0.6250 0.2500  3.29
6 Mn 0.3750 0.4319 0.7500  3.31
7 Fe 0.5000 0.5000 0.0000  -1.76
8 Fe 0.2500 0.7500 0.5000  -1.77

=====

Mn2FeI6: relaxed, GGA-PBE.

Summary:
Symmetry: No. 162
Total energy (eV per atom): -4.312
Formation energy (no corrections) (meV/atom): -301

Cell: 7.3528 7.1358 7.1357 Å, 120.00 90.00 90.00°
Site moments in Bohr magnetons follow the coordinates.
Sites, in units of the cell vectors:
1 I 0.2776 0.3273 0.3273  0.12
2 I 0.2776 0.6727 0.0000  0.12
3 I 0.7224 0.6727 0.6727  0.12
4 I 0.7224 0.3273 0.0000  0.12
5 I 0.2776 0.0000 0.6727  0.12
6 I 0.7224 0.0000 0.3273  0.12
7 Mn 0.5000 0.3333 0.6667  4.34
8 Mn 0.5000 0.6667 0.3333  4.34
9 Fe 0.5000 0.0000 0.0000  3.40

=====

Mn2FeMoI: relaxed, GGA-PBE.

Summary:
Symmetry: No. 123
Total energy (eV per atom): -6.815
Formation energy (no corrections) (meV/atom): 1021

Cell: 4.7450 4.7450 4.4093 Å, 90.00 90.00 90.00°
Site moments in Bohr magnetons follow the coordinates.
Sites, in units of the cell vectors:
1 Mn 0.0000 0.5000 0.0000  3.88
2 Mn 0.5000 0.0000 0.0000  3.88
3 I 0.5000 0.5000 0.5000  0.10
4 Mo 0.0000 0.0000 0.5000  -1.28
5 Fe 0.0000 0.0000 0.0000  0.46